No. 1
First-principles (GGA+U) data for a geometry-optimized MnRhF4 structure, as listed in Alexandria. Values from VASP.

Space group = C2/m, No. 12

Structure (Quantum ESPRESSO input):
```
&SYSTEM
  ibrav = 0, nat = 6, ntyp = 3
/
ATOMIC_SPECIES
Mn 54.94 Mn.upf
Rh 102.91 Rh.upf
F 19.00 F.upf
CELL_PARAMETERS angstrom
4.464 -1.761 0.000
4.464 1.761 0.000
-1.406 0.000 5.450
ATOMIC_POSITIONS crystal
Mn 0.000 0.000 0.000
Rh 0.500 0.500 0.500
F 0.113 0.113 0.376
F 0.389 0.389 0.128
F 0.611 0.611 0.872
F 0.887 0.887 0.624
```

No. 2
First-principles (GGA+U) data for a geometry-optimized MnRhF2 structure, as listed in Alexandria. Values from VASP.

Energy above the most stable polymorph in this dataset = 0 meV per atom
Space group = R-3m, No. 166

Structure (Quantum ESPRESSO input):
```
&SYSTEM
  ibrav = 0, nat = 4, ntyp = 3
/
ATOMIC_SPECIES
Mn 54.94 Mn.upf
Rh 102.91 Rh.upf
F 19.00 F.upf
CELL_PARAMETERS angstrom
1.521 0.878 8.358
-1.521 0.878 8.358
0.000 -1.756 8.358
ATOMIC_POSITIONS crystal
Mn 0.000 0.000 0.000
Rh 0.500 0.500 0.500
F 0.379 0.379 0.379
F 0.621 0.621 0.621
```

No. 3
First-principles (GGA+U) data for a geometry-optimized MnRhF2 structure, as listed in Alexandria. Values from VASP.

Energy above the most stable polymorph in this dataset = 346 meV per atom
Space group = I-42d, No. 122

Structure (Quantum ESPRESSO input):
```
&SYSTEM
  ibrav = 0, nat = 8, ntyp = 3
/
ATOMIC_SPECIES
Mn 54.94 Mn.upf
Rh 102.91 Rh.upf
F 19.00 F.upf
CELL_PARAMETERS angstrom
-2.672 2.672 4.819
2.672 -2.672 4.819
2.672 2.672 -4.819
ATOMIC_POSITIONS crystal
Mn 0.000 0.000 0.000
Mn 0.750 0.250 0.500
Rh 0.250 0.750 0.500
Rh 0.500 0.500 0.000
F 0.053 0.625 0.928
F 0.375 0.303 0.428
F 0.697 0.125 0.072
F 0.875 0.947 0.572
```

No. 4
First-principles (GGA+U) data for a geometry-optimized MnRh2F4 structure, as listed in Alexandria. Values from VASP.

Space group = I4/mmm, No. 139

Structure (Quantum ESPRESSO input):
```
&SYSTEM
  ibrav = 0, nat = 7, ntyp = 3
/
ATOMIC_SPECIES
Mn 54.94 Mn.upf
Rh 102.91 Rh.upf
F 19.00 F.upf
CELL_PARAMETERS angstrom
-1.887 1.887 8.016
1.887 -1.887 8.016
1.887 1.887 -8.016
ATOMIC_POSITIONS crystal
Mn 0.000 0.000 0.000
Rh 0.261 0.261 0.000
Rh 0.739 0.739 0.000
F 0.000 0.500 0.500
F 0.135 0.135 0.000
F 0.500 0.000 0.500
F 0.865 0.865 0.000
```

No. 5
First-principles (GGA+U) data for a geometry-optimized MnSbRhF2 structure, as listed in Alexandria. Values from VASP.

Space group = P4/mmm, No. 123

Structure (Quantum ESPRESSO input):
```
&SYSTEM
  ibrav = 0, nat = 5, ntyp = 4
/
ATOMIC_SPECIES
Mn 54.94 Mn.upf
Sb 121.76 Sb.upf
Rh 102.91 Rh.upf
F 19.00 F.upf
CELL_PARAMETERS angstrom
4.206 0.000 0.000
0.000 4.206 0.000
0.000 0.000 5.905
ATOMIC_POSITIONS crystal
Mn 0.000 0.000 0.000
Sb 0.000 0.000 0.500
Rh 0.500 0.500 0.000
F 0.000 0.500 0.500
F 0.500 0.000 0.500
```

No. 6
First-principles (GGA+U) data for a geometry-optimized MnSnRh2F structure, as listed in Alexandria. Values from VASP.

Space group = P4/mmm, No. 123

Structure (Quantum ESPRESSO input):
```
&SYSTEM
  ibrav = 0, nat = 5, ntyp = 4
/
ATOMIC_SPECIES
Mn 54.94 Mn.upf
Sn 118.71 Sn.upf
Rh 102.91 Rh.upf
F 19.00 F.upf
CELL_PARAMETERS angstrom
4.407 0.000 0.000
0.000 4.407 0.000
0.000 0.000 4.441
ATOMIC_POSITIONS crystal
Mn 0.000 0.000 0.000
Sn 0.500 0.500 0.000
Rh 0.000 0.500 0.500
Rh 0.500 0.000 0.500
F 0.500 0.500 0.500
```

No. 7
First-principles (GGA+U) data for a geometry-optimized MnTlRhF6 structure, as listed in Alexandria. Values from VASP.

Space group = P-31c, No. 163

Structure (Quantum ESPRESSO input):
```
&SYSTEM
  ibrav = 0, nat = 18, ntyp = 4
/
ATOMIC_SPECIES
Mn 54.94 Mn.upf
Tl 204.38 Tl.upf
Rh 102.91 Rh.upf
F 19.00 F.upf
CELL_PARAMETERS angstrom
5.585 0.000 0.000
-2.793 4.837 0.000
0.000 0.000 12.006
ATOMIC_POSITIONS crystal
Mn 0.333 0.667 0.250
Mn 0.667 0.333 0.750
Tl 0.000 0.000 0.000
Tl 0.000 0.000 0.500
Rh 0.333 0.667 0.750
Rh 0.667 0.333 0.250
F 0.019 0.376 0.658
F 0.019 0.642 0.842
F 0.358 0.376 0.842
F 0.358 0.981 0.658
F 0.376 0.019 0.158
F 0.376 0.358 0.342
F 0.624 0.642 0.658
F 0.624 0.981 0.842
F 0.642 0.019 0.342
F 0.642 0.624 0.158
F 0.981 0.358 0.158
F 0.981 0.624 0.342
```

No. 8
First-principles (GGA+U) data for a geometry-optimized Mn3Tl2RhF12 structure, as listed in Alexandria. Values from VASP.

Space group = R-3m, No. 166

Structure (Quantum ESPRESSO input):
```
&SYSTEM
  ibrav = 0, nat = 18, ntyp = 4
/
ATOMIC_SPECIES
Mn 54.94 Mn.upf
Tl 204.38 Tl.upf
Rh 102.91 Rh.upf
F 19.00 F.upf
CELL_PARAMETERS angstrom
3.788 2.187 6.336
-3.788 2.187 6.336
0.000 -4.373 6.336
ATOMIC_POSITIONS crystal
Mn 0.000 0.500 0.500
Mn 0.500 0.000 0.500
Mn 0.500 0.500 0.000
Tl 0.170 0.170 0.170
Tl 0.830 0.830 0.830
Rh 0.500 0.500 0.500
F 0.184 0.184 0.553
F 0.184 0.553 0.184
F 0.184 0.573 0.573
F 0.427 0.427 0.816
F 0.427 0.816 0.427
F 0.447 0.816 0.816
F 0.553 0.184 0.184
F 0.573 0.184 0.573
F 0.573 0.573 0.184
F 0.816 0.427 0.427
F 0.816 0.447 0.816
F 0.816 0.816 0.447
```

No. 9
First-principles (GGA+U) data for a geometry-optimized MnRu2F2 structure, as listed in Alexandria. Values from VASP.

Energy above the most stable polymorph in this dataset = 0 meV per atom
Space group = I4/mmm, No. 139

Structure (Quantum ESPRESSO input):
```
&SYSTEM
  ibrav = 0, nat = 5, ntyp = 3
/
ATOMIC_SPECIES
Mn 54.94 Mn.upf
Ru 101.07 Ru.upf
F 19.00 F.upf
CELL_PARAMETERS angstrom
-1.696 1.696 5.824
1.696 -1.696 5.824
1.696 1.696 -5.824
ATOMIC_POSITIONS crystal
Mn 0.000 0.000 0.000
Ru 0.388 0.388 0.000
Ru 0.612 0.612 0.000
F 0.250 0.750 0.500
F 0.750 0.250 0.500
```

No. 10
First-principles (GGA+U) data for a geometry-optimized MnRu2F structure, as listed in Alexandria. Values from VASP.

Energy above the most stable polymorph in this dataset = 700 meV per atom
Space group = I-42d, No. 122

Structure (Quantum ESPRESSO input):
```
&SYSTEM
  ibrav = 0, nat = 8, ntyp = 3
/
ATOMIC_SPECIES
Mn 54.94 Mn.upf
Ru 101.07 Ru.upf
F 19.00 F.upf
CELL_PARAMETERS angstrom
-3.055 3.055 2.878
3.055 -3.055 2.878
3.055 3.055 -2.878
ATOMIC_POSITIONS crystal
Mn 0.000 0.000 0.000
Mn 0.750 0.250 0.500
Ru 0.124 0.125 0.499
Ru 0.375 0.876 0.001
Ru 0.626 0.625 0.501
Ru 0.875 0.374 0.999
F 0.250 0.750 0.500
F 0.500 0.500 0.000
```

No. 11
First-principles (GGA+U) data for a geometry-optimized Mn4RuF2 structure, as listed in Alexandria. Values from VASP.

Space group = I4/mmm, No. 139

Structure (Quantum ESPRESSO input):
```
&SYSTEM
  ibrav = 0, nat = 7, ntyp = 3
/
ATOMIC_SPECIES
Mn 54.94 Mn.upf
Ru 101.07 Ru.upf
F 19.00 F.upf
CELL_PARAMETERS angstrom
-2.511 2.511 5.745
2.511 -2.511 5.745
2.511 2.511 -5.745
ATOMIC_POSITIONS crystal
Mn 0.000 0.500 0.500
Mn 0.221 0.221 0.000
Mn 0.500 0.000 0.500
Mn 0.779 0.779 0.000
Ru 0.000 0.000 0.000
F 0.391 0.391 0.000
F 0.609 0.609 0.000
```

No. 12
First-principles (GGA+U) data for a geometry-optimized MnRu2F2 structure, as listed in Alexandria. Values from VASP.

Energy above the most stable polymorph in this dataset = 110 meV per atom
Space group = P4/mbm, No. 127

Structure (Quantum ESPRESSO input):
```
&SYSTEM
  ibrav = 0, nat = 10, ntyp = 3
/
ATOMIC_SPECIES
Mn 54.94 Mn.upf
Ru 101.07 Ru.upf
F 19.00 F.upf
CELL_PARAMETERS angstrom
6.486 0.000 0.000
0.000 6.486 0.000
0.000 0.000 4.078
ATOMIC_POSITIONS crystal
Mn 0.000 0.000 0.000
Mn 0.500 0.500 0.000
Ru 0.127 0.373 0.000
Ru 0.373 0.873 0.000
Ru 0.627 0.127 0.000
Ru 0.873 0.627 0.000
F 0.156 0.344 0.500
F 0.344 0.844 0.500
F 0.656 0.156 0.500
F 0.844 0.656 0.500
```

Values for calculated total energy, eV per atom, ordered as above
-5.476, -5.829, -5.483, -5.426, -4.930, -5.399, -5.168, -5.382, -6.174, -5.789, -6.257, -6.065